# 1
Entry from Alexandria: a relaxed Na3CuSn4 crystal (PBE-GGA).

```
Na3CuSn4
1.0
-2.9175 -0.5240 5.5093
-3.5147 -4.8220 -2.3199
7.8571 -7.3905 3.4578
Sn Na Cu
8 6 2
Direct
0.9724 0.2563 0.5000
0.6572 0.0000 0.3622
0.0276 0.2437 0.0000
0.3428 0.5000 0.8622
0.9724 0.7437 0.5000
0.3428 0.5000 0.1378
0.6572 0.0000 0.6378
0.0276 0.7563 0.0000
0.1617 0.0000 0.2514
0.1617 0.0000 0.7486
0.5433 0.0000 0.0000
0.8383 0.5000 0.2486
0.4567 0.5000 0.5000
0.8383 0.5000 0.7514
0.6882 0.5000 0.0000
0.3118 0.0000 0.5000
```

DFT formation energy = -162 meV per atom

---

# 2
Entry from Alexandria: a relaxed NaCu2Sn8 crystal (PBE-GGA).

```
NaCu2Sn8
1.0
6.3376 0.0000 0.0000
0.0000 6.3376 0.0000
0.0000 0.0000 7.8853
Sn Cu Na
8 2 1
Direct
0.2451 0.2451 0.2086
0.7549 0.2451 0.2086
0.7549 0.7549 0.7914
0.2451 0.7549 0.2086
0.7549 0.2451 0.7914
0.2451 0.2451 0.7914
0.2451 0.7549 0.7914
0.7549 0.7549 0.2086
0.0000 0.5000 0.0000
0.5000 0.0000 0.0000
0.5000 0.5000 0.5000
```

DFT formation energy = 78 meV per atom

---

# 3
Entry from Alexandria: a relaxed Na2Cu3Sn4 crystal (PBE-GGA).

```
Na2Cu3Sn4
1.0
-0.6541 4.2502 -3.7106
1.1965 -5.2412 -1.8326
-7.2402 -0.9472 2.3476
Sn Na Cu
4 2 3
Direct
0.6795 0.0134 0.6929
0.9866 0.3205 0.3071
0.0134 0.6795 0.6929
0.3205 0.9866 0.3071
0.3818 0.3818 0.7636
0.6182 0.6182 0.2364
0.5000 0.0000 0.0000
0.0000 0.0000 0.0000
0.0000 0.5000 0.0000
```

DFT formation energy = -35 meV per atom

---

# 4
Entry from Alexandria: a relaxed Na6CuSn2 crystal (PBE-GGA).

```
Na6CuSn2
1.0
-2.7961 1.5917 1.7760
-4.2664 -7.7060 2.3122
5.0891 4.8412 5.7960
Na Sn Cu
6 2 1
Direct
0.6888 0.6930 0.6930
0.3112 0.3070 0.3070
0.2177 0.5067 0.8528
0.2177 0.8528 0.5067
0.7823 0.1472 0.4933
0.7823 0.4933 0.1472
0.5000 0.8732 0.1268
0.5000 0.1268 0.8732
0.0000 0.0000 0.0000
```

DFT formation energy = -41 meV per atom
Excess energy over the best structure of this formula in the dataset = 74 meV/atom

---

# 5
Entry from Alexandria: a relaxed NaCuSn2 crystal (PBE-GGA).

```
NaCuSn2
1.0
-3.8813 -0.0126 1.9316
-1.8602 -3.7575 1.1029
1.6802 -0.9156 8.2355
Sn Na Cu
2 1 1
Direct
0.1270 0.1270 0.6190
0.8730 0.8730 0.3810
0.0000 0.0000 0.0000
0.5000 0.5000 0.5000
```

DFT formation energy = 46 meV per atom

---

# 6
Entry from Alexandria: a relaxed NaCu3Sn3 crystal (PBE-GGA).

```
NaCu3Sn3
1.0
-4.9643 -4.7839 -1.4467
1.1670 -6.8111 1.3678
-4.1156 -2.9783 6.8204
Cu Sn Na
6 6 2
Direct
0.5290 0.3448 0.3598
0.2336 0.4710 0.6402
0.7664 0.5290 0.3598
0.4710 0.6552 0.6402
0.6552 0.2336 0.6402
0.3448 0.7664 0.3598
0.4004 0.0231 0.6966
0.1201 0.5996 0.3034
0.0231 0.8799 0.6966
0.8799 0.4004 0.6966
0.5996 0.9769 0.3034
0.9769 0.1201 0.3034
0.6637 0.6637 0.0089
0.3363 0.3363 0.9911
```

DFT formation energy = 22 meV per atom
Excess energy over the best structure of this formula in the dataset = 0 meV/atom

---

# 7
Entry from Alexandria: a relaxed Na6CuSn2 crystal (PBE-GGA).

```
Na6CuSn2
1.0
-1.6291 0.3776 -5.1677
0.7524 -4.1713 -3.3964
-9.1585 -4.9219 -0.3270
Na Sn Cu
6 2 1
Direct
0.5763 0.5763 0.2711
0.8074 0.8074 0.5779
0.3035 0.3035 0.0894
0.6965 0.6965 0.9106
0.4237 0.4237 0.7289
0.1926 0.1926 0.4221
0.0847 0.0847 0.7459
0.9153 0.9153 0.2541
0.0000 0.0000 0.0000
```

DFT formation energy = -115 meV per atom
Excess energy over the best structure of this formula in the dataset = 0 meV/atom

---

# 8
Entry from Alexandria: a relaxed Na3CuSn crystal (PBE-GGA).

```
Na3CuSn
1.0
-4.5690 2.6164 0.7301
-1.5344 -1.3071 -4.9184
-2.2415 -4.4384 1.8788
Cu Sn Na
1 1 3
Direct
0.0000 0.0000 0.0000
0.5000 0.5000 0.5000
0.0000 0.0000 0.5000
0.5000 0.0000 0.0000
0.0000 0.5000 0.0000
```

DFT formation energy = 316 meV per atom
Excess energy over the best structure of this formula in the dataset = 0 meV/atom

---

# 9
Entry from Alexandria: a relaxed Na2Cu2SnTe4 crystal (PBE-GGA).

```
Na2Cu2SnTe4
1.0
-2.7415 -3.1215 0.3531
4.6957 -3.4813 5.6818
-4.1840 6.7458 2.5325
Na Te Cu Sn
2 4 2 1
Direct
0.1289 0.5589 0.2579
0.8711 0.4411 0.7421
0.7916 0.7964 0.5832
0.5206 0.7511 0.0412
0.2084 0.2036 0.4168
0.4794 0.2489 0.9588
0.7000 0.9943 0.4000
0.3000 0.0057 0.6000
0.0000 0.0000 0.0000
```

Formation energy without anion corrections = -3.56 eV/f.u.

---

# 10
Entry from Alexandria: a relaxed NaCuSnTe3 crystal (PBE-GGA).

```
NaCuSnTe3
1.0
-1.7211 -0.0020 3.8860
-6.4195 -6.2158 -2.8464
7.1383 -5.1823 3.1590
Cu Te Sn Na
2 6 2 2
Direct
0.7500 0.9344 0.4359
0.2500 0.0656 0.5641
0.2500 0.5584 0.8262
0.7500 0.8904 0.1399
0.2500 0.7788 0.4791
0.2500 0.1096 0.8601
0.7500 0.2212 0.5209
0.7500 0.4416 0.1738
0.7500 0.3321 0.8497
0.2500 0.6679 0.1503
0.7500 0.8193 0.7678
0.2500 0.1807 0.2322
```

Formation energy without anion corrections = -1.96 eV/f.u.

---

# 11
Entry from Alexandria: a relaxed NaThCu2Sn2 crystal (PBE-GGA).

```
NaThCu2Sn2
1.0
4.5859 0.0000 0.0000
-2.2930 3.9715 0.0000
0.0000 0.0000 7.5180
Th Cu Sn Na
1 2 2 1
Direct
0.0000 0.0000 0.0000
0.6667 0.3333 0.2372
0.3333 0.6667 0.7628
0.3333 0.6667 0.2551
0.6667 0.3333 0.7449
0.0000 0.0000 0.5000
```

DFT formation energy = -270 meV per atom

---

# 12
Entry from Alexandria: a relaxed NaTl2CuSn crystal (PBE-GGA).

```
NaTl2CuSn
1.0
-0.8114 0.9433 5.1847
4.3089 -2.9013 1.2022
2.9281 4.2203 -0.3096
Na Tl Cu Sn
1 2 1 1
Direct
0.5000 0.5000 0.5000
0.0000 0.5000 0.0000
0.5000 0.0000 0.0000
0.0000 0.0000 0.0000
0.0000 0.0000 0.5000
```

DFT formation energy = 105 meV per atom

---

E_tot
In order: -0.23301, -0.27176, -0.25524, -0.16647, -0.24320, -0.26734, -0.17189, -0.15400, -0.25284, -0.25481, -0.32534, -0.20032
Unit: Ry/atom